Compound: CaNbAs2Br
Source: Alexandria
Functional: GGA-PBEsol
Structure: optimized geometry

POSCAR file:
```
CaNbAs2Br
1.0
5.140 0.000 0.000
0.000 5.170 0.000
0.000 0.000 5.170
Nb Ca As Br
1 1 2 1
Direct
0.500 0.500 0.500 Nb
0.000 0.000 0.000 Ca
0.000 0.000 0.500 As
0.000 0.500 0.000 As
0.500 0.000 0.000 Br
```

ΔE_f (raw): 0.90 eV/atom